Record 1
DFT (GGA-PBE) results for a relaxed CdAuBr5 crystal.

Computed properties:
Space group: C2/c, No. 15
Raw formation energy in meV per atom: -384

Unit cell a=8.291 b=8.295 c=9.221 alpha=113.38 beta=113.37 gamma=99.06
Element x y z (fractional)
Br 0.477 0.347 0.737
Cd 0.500 0.000 0.500
Au 0.180 0.320 0.750
Br 0.152 0.023 0.763
Cd 0.500 0.000 0.000
Br 0.523 0.653 0.263
Br 0.803 0.382 0.257
Br 0.393 0.107 0.250
Br 0.607 0.893 0.750
Au 0.820 0.680 0.250
Br 0.882 0.304 0.757
Br 0.197 0.618 0.743
Br 0.118 0.696 0.243
Br 0.848 0.977 0.237



Record 2
DFT (GGA-PBE) results for a relaxed ThAlCuPt2 crystal.

Computed properties:
ΔE_f in eV/atom: -0.88
Space group: I-4m2, No. 119

Unit cell a=3.889 b=3.889 c=6.848 alpha=106.50 beta=106.50 gamma=90.00
Element x y z (fractional)
Pt 0.390 0.390 0.780
Cu 0.250 0.750 0.500
Al 0.750 0.250 0.500
Th 0.000 0.000 0.000
Pt 0.610 0.610 0.220